[1]
The following is a GGA-PBE calculation of a relaxed Pr3Ga3Pd8 crystal, from Alexandria.

calculated density	9.1	g/cm³
uncorrected energy	-5.43	eV per atom
total moment	0.000	μB per formula unit
D(E_F)	6.313	states/eV/f.u.
SG	C2/m, No. 12
calculated formation energy	-0.79	eV/atom

Cell lengths 4.467, 8.319, 8.389 Å; angles 65.95, 74.56, 74.43 degrees
Fractional coordinates of all 14 atoms:
Pr (0.295, 0.730, 0.680)
Pr (0.705, 0.270, 0.320)
Pr (0.000, 0.000, 0.000)
Ga (0.000, 0.500, 0.500)
Ga (0.670, 0.664, 0.995)
Ga (0.330, 0.336, 0.005)
Pd (0.123, 0.160, 0.594)
Pd (0.877, 0.840, 0.406)
Pd (0.870, 0.421, 0.840)
Pd (0.130, 0.579, 0.160)
Pd (0.503, 0.670, 0.323)
Pd (0.497, 0.330, 0.677)
Pd (0.345, 0.043, 0.266)
Pd (0.655, 0.957, 0.734)

***

[2]
The following is a GGA-PBE calculation of a relaxed UNiH8Ir2 crystal, from Alexandria.

calculated density	10.0	g/cm³
uncorrected energy	-5.13	eV per atom
total moment	1.144	μB per formula unit
D(E_F)	5.757	states/eV/f.u.
SG	P-3m1, No. 164

Cell lengths 4.797, 4.797, 5.720 Å; angles 90.00, 90.00, 120.00 degrees
Last column: magnetic moment on the atom in μB.
Fractional coordinates of all 12 atoms:
U (0.000, 0.000, 0.500)  1.27
Ni (0.000, 0.000, 0.000)  -0.03
H (0.831, 0.169, 0.167)  0.00
H (0.831, 0.663, 0.167)  0.00
H (0.337, 0.169, 0.167)  0.00
H (0.663, 0.831, 0.833)  0.00
H (0.333, 0.667, 0.343)  0.00
H (0.667, 0.333, 0.657)  0.00
H (0.169, 0.831, 0.833)  0.00
H (0.169, 0.337, 0.833)  0.00
Ir (0.667, 0.333, 0.373)  -0.07
Ir (0.333, 0.667, 0.627)  -0.07

***

[3]
The following is a GGA-PBE calculation of a relaxed CaY3 crystal, from Alexandria.

calculated density	3.7	g/cm³
uncorrected energy	-5.19	eV per atom
total moment	0.005	μB per formula unit
D(E_F)	8.730	states/eV/f.u.
SG	Fm-3m, No. 225
calculated formation energy	0.16	eV/atom

Cell lengths 5.780, 5.780, 5.780 Å; angles 60.00, 60.00, 60.00 degrees
Fractional coordinates of all 4 atoms:
Y (0.250, 0.250, 0.250)
Y (0.500, 0.500, 0.500)
Y (0.750, 0.750, 0.750)
Ca (0.000, 0.000, 0.000)

***

[4]
The following is a GGA-PBE calculation of a relaxed Ag3Rh crystal, from Alexandria.

calculated density	10.5	g/cm³
uncorrected energy	-3.79	eV per atom
total moment	0.725	μB per formula unit
D(E_F)	3.561	states/eV/f.u.
SG	P4/mmm, No. 123
calculated formation energy	0.18	eV/atom

Cell lengths 2.827, 2.827, 8.425 Å; angles 90.00, 90.00, 90.00 degrees
Last column: magnetic moment on the atom in μB.
Fractional coordinates of all 4 atoms:
Ag (0.000, 0.000, 0.757)  0.02
Ag (0.000, 0.000, 0.243)  0.02
Ag (0.500, 0.500, 0.500)  0.00
Rh (0.500, 0.500, 0.000)  0.68

***

[5]
The following is a GGA-PBE calculation of a relaxed BaPmRu crystal, from Alexandria.

calculated density	6.6	g/cm³
uncorrected energy	-5.25	eV per atom
total moment	0.000	μB per formula unit
D(E_F)	2.351	states/eV/f.u.
SG	C2/m, No. 12
calculated formation energy	0.07	eV/atom

Cell lengths 5.381, 10.423, 9.321 Å; angles 65.91, 61.98, 58.94 degrees
Fractional coordinates of all 12 atoms:
Ba (0.162, 0.669, 0.931)
Ba (0.838, 0.831, 0.569)
Ba (0.838, 0.331, 0.069)
Ba (0.162, 0.169, 0.431)
Pm (0.281, 0.391, 0.609)
Pm (0.281, 0.891, 0.109)
Pm (0.719, 0.609, 0.391)
Pm (0.719, 0.109, 0.891)
Ru (0.677, 0.411, 0.720)
Ru (0.677, 0.911, 0.220)
Ru (0.323, 0.589, 0.280)
Ru (0.323, 0.089, 0.780)

***

[6]
The following is a GGA-PBE calculation of a relaxed Ta2PdCS crystal, from Alexandria.

formation energy (no corrections)	1570	meV/atom
calculated density	9.2	g/cm³
uncorrected energy	-6.88	eV per atom
total moment	1.163	μB per formula unit
D(E_F)	6.244	states/eV/f.u.
SG	P4/mmm, No. 123

Cell lengths 5.013, 5.013, 3.678 Å; angles 90.00, 90.00, 90.00 degrees
Last column: magnetic moment on the atom in μB.
Fractional coordinates of all 5 atoms:
S (0.500, 0.500, 0.500)  -0.02
C (0.000, 0.000, 0.500)  -0.01
Pd (0.000, 0.000, 0.000)  0.04
Ta (0.000, 0.500, 0.000)  0.40
Ta (0.500, 0.000, 0.000)  0.40